First-principles (PBE-GGA) data for an optimized crystal structure of Hf2TeN2, as listed in Alexandria.

Results
- Crystal system: orthorhombic

a = 6.898 Å, b = 6.898 Å, c = 6.898 Å
α = 148.86°, β = 145.14°, γ = 47.43°
Positions (direct):
Hf 0.184 0.184 0.000
Hf 0.816 0.816 0.000
Te 0.000 0.500 0.500
N 0.270 0.770 0.500
N 0.730 0.230 0.500



First-principles (PBE-GGA) data for an optimized crystal structure of HfTe2N, as listed in Alexandria.

Results
- Crystal system: trigonal

a = 9.089 Å, b = 9.089 Å, c = 9.089 Å
α = 21.27°, β = 21.27°, γ = 21.27°
Positions (direct):
Hf 0.000 0.000 0.000
Te 0.107 0.107 0.107
Te 0.893 0.893 0.893
N 0.500 0.500 0.500



First-principles (PBE-GGA) data for an optimized crystal structure of HfTe2N, as listed in Alexandria.

Results
- Crystal system: tetragonal

a = 7.138 Å, b = 7.138 Å, c = 7.138 Å
α = 130.62°, β = 130.62°, γ = 72.42°
Positions (direct):
Hf 0.000 0.000 0.000
Hf 0.750 0.250 0.500
Te 0.193 0.625 0.068
Te 0.375 0.443 0.568
Te 0.557 0.125 0.932
Te 0.875 0.807 0.432
N 0.250 0.750 0.500
N 0.500 0.500 0.000



First-principles (PBE-GGA) data for an optimized crystal structure of Hf6Te2N, as listed in Alexandria.

Results
- Crystal system: monoclinic

a = 5.810 Å, b = 6.513 Å, c = 10.817 Å
α = 90.00°, β = 118.27°, γ = 90.00°
Positions (direct):
Hf 0.107 0.018 0.236
Hf 0.107 0.482 0.736
Hf 0.183 0.694 0.026
Hf 0.183 0.806 0.526
Hf 0.357 0.192 0.021
Hf 0.357 0.308 0.521
Hf 0.643 0.692 0.479
Hf 0.643 0.808 0.979
Hf 0.817 0.194 0.474
Hf 0.817 0.306 0.974
Hf 0.893 0.518 0.264
Hf 0.893 0.982 0.764
Te 0.361 0.100 0.755
Te 0.361 0.400 0.255
Te 0.639 0.600 0.745
Te 0.639 0.900 0.245
N 0.000 0.000 0.000
N 0.000 0.500 0.500



First-principles (PBE-GGA) data for an optimized crystal structure of HfTe2N2, as listed in Alexandria.

Results
- Crystal system: tetragonal
- Energy above the lowest structure with this stoichiometry: 0.747 eV per atom

a = 4.528 Å, b = 4.528 Å, c = 4.146 Å
α = 90.00°, β = 90.00°, γ = 90.00°
Positions (direct):
Hf 0.000 0.000 0.000
Te 0.000 0.500 0.500
Te 0.500 0.000 0.500
N 0.500 0.500 0.000
N 0.500 0.500 0.500



First-principles (PBE-GGA) data for an optimized crystal structure of Hf2TeN, as listed in Alexandria.

Results
- Crystal system: trigonal
- Energy above the lowest structure with this stoichiometry: 0.000 eV per atom

a = 6.898 Å, b = 6.898 Å, c = 6.898 Å
α = 29.31°, β = 29.31°, γ = 29.31°
Positions (direct):
Hf 0.222 0.222 0.222
Hf 0.778 0.778 0.778
Te 0.000 0.000 0.000
N 0.500 0.500 0.500



First-principles (PBE-GGA) data for an optimized crystal structure of HfTe3N, as listed in Alexandria.

Results
- Crystal system: cubic
- Energy above the lowest structure with this stoichiometry: 0.320 eV per atom

a = 5.557 Å, b = 5.557 Å, c = 5.557 Å
α = 90.00°, β = 90.00°, γ = 90.00°
Positions (direct):
Hf 0.000 0.000 0.000
Te 0.000 0.000 0.500
Te 0.000 0.500 0.000
Te 0.500 0.000 0.000
N 0.500 0.500 0.500



First-principles (PBE-GGA) data for an optimized crystal structure of HfTeN2, as listed in Alexandria.

Results
- Crystal system: tetragonal

a = 6.106 Å, b = 6.106 Å, c = 6.106 Å
α = 126.71°, β = 126.71°, γ = 78.72°
Positions (direct):
Hf 0.000 0.000 0.000
Hf 0.750 0.250 0.500
Te 0.250 0.750 0.500
Te 0.500 0.500 0.000
N 0.053 0.625 0.928
N 0.375 0.303 0.428
N 0.697 0.125 0.072
N 0.875 0.947 0.572



First-principles (PBE-GGA) data for an optimized crystal structure of Hf2TeN, as listed in Alexandria.

Results
- Crystal system: cubic
- Energy above the lowest structure with this stoichiometry: 1.060 eV per atom

a = 4.619 Å, b = 4.619 Å, c = 4.619 Å
α = 60.00°, β = 60.00°, γ = 60.00°
Positions (direct):
Hf 0.250 0.250 0.250
Hf 0.750 0.750 0.750
Te 0.000 0.000 0.000
N 0.500 0.500 0.500



First-principles (PBE-GGA) data for an optimized crystal structure of Hf8TeN2, as listed in Alexandria.

Results
- Crystal system: monoclinic

a = 6.933 Å, b = 6.933 Å, c = 5.878 Å
α = 94.77°, β = 94.77°, γ = 57.13°
Positions (direct):
Hf 0.136 0.675 0.806
Hf 0.157 0.157 0.736
Hf 0.312 0.312 0.196
Hf 0.325 0.864 0.194
Hf 0.675 0.136 0.806
Hf 0.688 0.688 0.804
Hf 0.843 0.843 0.264
Hf 0.864 0.325 0.194
Te 0.500 0.500 0.500
N 0.322 0.322 0.846
N 0.678 0.678 0.154



First-principles (PBE-GGA) data for an optimized crystal structure of Hf2TeN, as listed in Alexandria.

Results
- Crystal system: tetragonal
- Energy above the lowest structure with this stoichiometry: 0.228 eV per atom

a = 6.780 Å, b = 6.780 Å, c = 6.780 Å
α = 130.60°, β = 130.60°, γ = 72.46°
Positions (direct):
Hf 0.012 0.625 0.887
Hf 0.375 0.262 0.387
Hf 0.738 0.125 0.113
Hf 0.875 0.988 0.613
Te 0.250 0.750 0.500
Te 0.500 0.500 0.000
N 0.000 0.000 0.000
N 0.750 0.250 0.500



First-principles (PBE-GGA) data for an optimized crystal structure of Hf2TeN2, as listed in Alexandria.

Results
- Crystal system: tetragonal

a = 6.598 Å, b = 6.598 Å, c = 6.598 Å
α = 146.67°, β = 146.67°, γ = 47.85°
Positions (direct):
Hf 0.171 0.171 0.000
Hf 0.829 0.829 0.000
Te 0.500 0.500 0.000
N 0.250 0.750 0.500
N 0.750 0.250 0.500



First-principles (PBE-GGA) data for an optimized crystal structure of HfTeN2, as listed in Alexandria.

Results
- Crystal system: trigonal

a = 6.849 Å, b = 6.849 Å, c = 6.849 Å
α = 27.90°, β = 27.90°, γ = 27.90°
Positions (direct):
Hf 0.000 0.000 0.000
Te 0.500 0.500 0.500
N 0.389 0.389 0.389
N 0.611 0.611 0.611



First-principles (PBE-GGA) data for an optimized crystal structure of HfTe3N, as listed in Alexandria.

Results
- Crystal system: cubic
- Energy above the lowest structure with this stoichiometry: 0.000 eV per atom

a = 4.748 Å, b = 4.748 Å, c = 4.748 Å
α = 90.00°, β = 90.00°, γ = 90.00°
Positions (direct):
Hf 0.000 0.000 0.000
Te 0.000 0.500 0.500
Te 0.500 0.000 0.500
Te 0.500 0.500 0.000
N 0.500 0.500 0.500



First-principles (PBE-GGA) data for an optimized crystal structure of Hf4TeN, as listed in Alexandria.

Results
- Crystal system: monoclinic

a = 7.479 Å, b = 7.479 Å, c = 5.552 Å
α = 105.31°, β = 105.31°, γ = 116.53°
Positions (direct):
Hf 0.080 0.663 0.867
Hf 0.130 0.239 0.701
Hf 0.239 0.130 0.201
Hf 0.337 0.920 0.633
Hf 0.663 0.080 0.367
Hf 0.761 0.870 0.799
Hf 0.870 0.761 0.299
Hf 0.920 0.337 0.133
Te 0.395 0.605 0.250
Te 0.605 0.395 0.750
N 0.069 0.931 0.750
N 0.931 0.069 0.250



First-principles (PBE-GGA) data for an optimized crystal structure of HfThTe2N, as listed in Alexandria.

Results
- Crystal system: tetragonal

a = 4.085 Å, b = 4.085 Å, c = 14.555 Å
α = 90.00°, β = 90.00°, γ = 90.00°
Positions (direct):
Hf 0.250 0.250 0.082
Hf 0.750 0.750 0.918
Th 0.250 0.250 0.580
Th 0.750 0.750 0.420
Te 0.250 0.250 0.282
Te 0.250 0.250 0.881
Te 0.750 0.750 0.119
Te 0.750 0.750 0.718
N 0.250 0.750 0.500
N 0.750 0.250 0.500



First-principles (PBE-GGA) data for an optimized crystal structure of HfTiTe2N, as listed in Alexandria.

Results
- Crystal system: tetragonal
- Energy above the lowest structure with this stoichiometry: 0.129 eV per atom

a = 5.678 Å, b = 5.678 Å, c = 3.950 Å
α = 90.00°, β = 90.00°, γ = 90.00°
Positions (direct):
Hf 0.000 0.000 0.000
Ti 0.500 0.500 0.500
Te 0.000 0.500 0.000
Te 0.500 0.000 0.000
N 0.000 0.000 0.500



First-principles (PBE-GGA) data for an optimized crystal structure of HfTiTeN2, as listed in Alexandria.

Results
- Crystal system: tetragonal
- Energy above the lowest structure with this stoichiometry: 0.044 eV per atom

a = 4.113 Å, b = 4.113 Å, c = 5.760 Å
α = 90.00°, β = 90.00°, γ = 90.00°
Positions (direct):
Hf 0.000 0.000 0.000
Ti 0.500 0.500 0.500
Te 0.000 0.000 0.500
N 0.000 0.500 0.000
N 0.500 0.000 0.000



First-principles (PBE-GGA) data for an optimized crystal structure of HfTiTe2N, as listed in Alexandria.

Results
- Crystal system: tetragonal
- Energy above the lowest structure with this stoichiometry: 0.000 eV per atom

a = 5.452 Å, b = 5.452 Å, c = 3.707 Å
α = 90.00°, β = 90.00°, γ = 90.00°
Positions (direct):
Hf 0.000 0.000 0.000
Ti 0.500 0.500 0.500
Te 0.000 0.500 0.500
Te 0.500 0.000 0.500
N 0.500 0.500 0.000



First-principles (PBE-GGA) data for an optimized crystal structure of HfTiTeN2, as listed in Alexandria.

Results
- Crystal system: tetragonal
- Energy above the lowest structure with this stoichiometry: 0.000 eV per atom

a = 4.003 Å, b = 4.003 Å, c = 5.315 Å
α = 90.00°, β = 90.00°, γ = 90.00°
Positions (direct):
Hf 0.000 0.000 0.000
Ti 0.500 0.500 0.500
Te 0.500 0.500 0.000
N 0.000 0.500 0.500
N 0.500 0.000 0.500



| no. | final energy (eV/cell) | total moment (μB/cell) | formation energy from raw total energies (eV per atom) |
| --- | --- | --- | --- |
| 1 | -46.95 | 0.00 | -1.451 |
| 2 | -20.64 | 0.00 | 0.981 |
| 3 | -43.51 | 0.00 | 0.702 |
| 4 | -158.28 | 0.00 | -0.535 |
| 5 | -27.09 | 0.25 | 1.159 |
| 6 | -35.28 | 0.00 | -0.976 |
| 7 | -23.50 | 2.73 | 0.841 |
| 8 | -60.44 | 0.00 | -0.119 |
| 9 | -31.04 | 0.00 | 0.085 |
| 10 | -104.04 | 0.00 | -0.420 |
| 11 | -68.73 | 0.00 | -0.747 |
| 12 | -46.54 | 0.00 | -1.369 |
| 13 | -32.19 | 0.00 | -0.612 |
| 14 | -25.10 | 0.00 | 0.521 |
| 15 | -109.85 | 0.00 | -0.607 |
| 16 | -75.95 | 0.00 | -1.199 |
| 17 | -32.15 | 1.96 | 0.061 |
| 18 | -36.21 | 0.00 | 0.286 |
| 19 | -32.80 | 0.00 | -0.068 |
| 20 | -36.43 | 0.00 | 0.242 |